ZrCd: relaxed, GGA-PBE.

Computed properties:
Energy   -16.75 eV per cell
Formation energy from the elements   543 meV per atom
D(E_F)   1.069 states/eV per atom
Symmetry   P4/mmm

Geometry as POSCAR:
```
ZrCd
1.0
2.9223 0.0000 0.0000
0.0000 2.9223 0.0000
0.0000 0.0000 11.8916
Cd Zr
2 2
direct
0.5000 0.5000 0.1228
0.5000 0.5000 0.8772
0.5000 0.5000 0.3744
0.5000 0.5000 0.6256
```

***

ZrCd: relaxed, GGA-PBE.

Computed properties:
Energy   -19.39 eV per cell
Formation energy from the elements   -115 meV per atom
D(E_F)   0.784 states/eV per atom
Symmetry   P4/nmm

Geometry as POSCAR:
```
ZrCd
1.0
-0.4219 2.8209 1.1885
-3.0479 -0.4983 0.1008
0.8552 -3.4930 8.5940
Cd Zr
2 2
direct
0.7500 0.7500 0.3772
0.2500 0.2500 0.6228
0.2500 0.2500 0.1233
0.7500 0.7500 0.8767
```